VASP calculation (PBE+U) on crystalline MnS2ClF at its relaxed geometry.

a = 4.3559 Å, b = 4.3559 Å, c = 4.6895 Å
α = 90.00°, β = 90.00°, γ = 90.00°
Last column: nearest neighbours and their distance in Å.
Positions (direct):
Mn (0.0000, 0.0000, 0.0000)  4 S 2.18, 2 Cl 2.34
S (0.0000, 0.5000, 0.0000)  2 Mn 2.18
S (0.5000, 0.0000, 0.0000)  2 Mn 2.18
Cl (0.0000, 0.0000, 0.5000)  2 Mn 2.34
F (0.5000, 0.5000, 0.5000)  4 Cl 3.08, 8 S 3.20

E   -3.273 eV per atom
DOS at the Fermi energy   0.999 states/eV/atom
SG   P4/mmm (123)
Energy relative to the lowest polymorph listed for this composition   9.91 kcal/mol of atoms